Entry a
This record from Alexandria via LeMat-Bulk describes a relaxed ZnGeIO2 crystal. The functional is PBE-GGA.

DOS(E_F): 0.95 states/eV/cell

The structure in CIF format:
```
data_ZnGeIO2
_chemical_formula_sum 'Zn1 Ge1 I1 O2'
_cell_length_a 3.817
_cell_length_b 3.817
_cell_length_c 6.577
_cell_angle_alpha 90.00
_cell_angle_beta 90.00
_cell_angle_gamma 90.00
_space_group_name_H-M_alt 'P 4/m m m'
_space_group_IT_number 123
_space_group_name_Hall '-P 4 2'
loop_
_atom_site_label
_atom_site_fract_x
_atom_site_fract_y
_atom_site_fract_z
_atom_site_occupancy
Zn1 0.000 0.000 0.000 1
Ge1 0.500 0.500 0.500 1
I1 0.500 0.500 0.000 1
O1 0.000 0.500 0.500 1
```

---

Entry b
This record from Alexandria via LeMat-Bulk describes a relaxed ZnGeIO2 crystal. The functional is PBE-GGA.

DOS(E_F): 1.93 states/eV/cell

The structure in CIF format:
```
data_ZnGeIO2
_chemical_formula_sum 'Zn1 Ge1 I1 O2'
_cell_length_a 4.074
_cell_length_b 4.074
_cell_length_c 5.573
_cell_angle_alpha 90.00
_cell_angle_beta 90.00
_cell_angle_gamma 90.00
_space_group_name_H-M_alt 'P 4/m m m'
_space_group_IT_number 123
_space_group_name_Hall '-P 4 2'
loop_
_atom_site_label
_atom_site_fract_x
_atom_site_fract_y
_atom_site_fract_z
_atom_site_occupancy
Zn1 0.000 0.000 0.000 1
Ge1 0.500 0.500 0.500 1
I1 0.000 0.000 0.500 1
O1 0.000 0.500 0.000 1
```

---

Energies, relative to the best one, in kJ/mol of atoms: entry a 0.0; entry b 45.2.